1.
Entry from Alexandria: crystalline BaVGe2 at its relaxed geometry (PBE).

a = 8.977 Å, b = 8.977 Å, c = 8.977 Å
α = 144.77°, β = 144.77°, γ = 50.68°
Atoms (fractional coordinates):
Ba 0.375 0.625 0.750
Ba 0.625 0.375 0.250
V 0.125 0.875 0.250
V 0.875 0.125 0.750
Ge 0.000 0.000 0.000
Ge 0.000 0.000 0.500
Ge 0.000 0.500 0.000
Ge 0.500 0.000 0.500

Energy relative to the lowest polymorph listed for this composition (meV per atom): 0
Fermi-level density of states (states/eV/cell): 5.7
Final energy (eV/cell): -41.37
Calculated formation energy (meV/atom): -102
Size of the total moment (μB per formula unit): 1.82
Calculated volume (A^3/atom): 29.940

***

2.
Entry from Alexandria: crystalline Ba2GeW at its relaxed geometry (PBE).

a = 7.075 Å, b = 7.075 Å, c = 7.075 Å
α = 100.67°, β = 100.67°, γ = 129.02°
Atoms (fractional coordinates):
Ba 0.120 0.625 0.995
Ba 0.375 0.370 0.495
Ba 0.630 0.125 0.005
Ba 0.875 0.880 0.505
Ge 0.250 0.750 0.500
Ge 0.500 0.500 0.000
W 0.000 0.000 0.000
W 0.750 0.250 0.500

Fermi-level density of states (states/eV/cell): 8.0
Final energy (eV/cell): -33.62
Calculated formation energy (meV/atom): 1152
Size of the total moment (μB per formula unit): 1.51
Calculated volume (A^3/atom): 31.037

***

Which value of size of the total moment does entry 1 give? 1.82 μB per formula unit

***

What is the Fermi-level density of states in the first record? 5.7 states/eV/cell

***

Among the records above, which one has the lowest calculated formation energy? BaVGe2